DFT (PBE) results for a relaxed structure of LaPrCu2Ge2.

Geometry as CIF:
```
data_LaPrCu2Ge2
_space_group_name_H-M_alt 'P 1'
_space_group_IT_number 1
_space_group_name_Hall 'P 1'
_cell_length_a 4.3243
_cell_length_b 4.3243
_cell_length_c 8.0710
_cell_angle_alpha 90.00
_cell_angle_beta 90.00
_cell_angle_gamma 120.00
loop_
_atom_site_label
_atom_site_fract_x
_atom_site_fract_y
_atom_site_fract_z
_atom_site_occupancy
La1 0.0000 0.0000 0.0000 1
Pr1 0.0000 0.0000 0.5000 1
Cu1 0.3333 0.6667 0.7455 1
Cu2 0.6667 0.3333 0.2545 1
Ge1 0.3333 0.6667 0.2529 1
Ge2 0.6667 0.3333 0.7471 1
```

As for the density: 7.0 g/cm3. The final energy is -30.35 eV for the cell shown. Its space group is P-3m1 (164).

DFT (PBE) results for a relaxed structure of La2PrCu4Ge4.

Geometry as CIF:
```
data_La2PrCu4Ge4
_space_group_name_H-M_alt 'P 1'
_space_group_IT_number 1
_space_group_name_Hall 'P 1'
_cell_length_a 12.6167
_cell_length_b 12.6167
_cell_length_c 12.6167
_cell_angle_alpha 160.53
_cell_angle_beta 160.52
_cell_angle_gamma 27.68
loop_
_atom_site_label
_atom_site_fract_x
_atom_site_fract_y
_atom_site_fract_z
_atom_site_occupancy
La1 0.1527 0.1527 0.0000 1
La2 0.8473 0.8473 0.0000 1
Pr1 0.5000 0.0000 0.5000 1
Cu1 0.2502 0.7502 0.5000 1
Cu2 0.4032 0.4032 0.0000 1
Cu3 0.5968 0.5968 0.0000 1
Cu4 0.7498 0.2498 0.5000 1
Ge1 0.0520 0.5520 0.5000 1
Ge2 0.3040 0.3040 0.0000 1
Ge3 0.6960 0.6960 0.0000 1
Ge4 0.9480 0.4480 0.5000 1
```

As for the density: 7.2 g/cm3. The final energy is -54.80 eV for the cell shown. Its space group is Immm (71).

DFT (PBE) results for a relaxed structure of La2PrCu4Si2Ge2.

Geometry as CIF:
```
data_La2PrCu4Si2Ge2
_space_group_name_H-M_alt 'P 1'
_space_group_IT_number 1
_space_group_name_Hall 'P 1'
_cell_length_a 12.4920
_cell_length_b 12.4920
_cell_length_c 12.4920
_cell_angle_alpha 160.61
_cell_angle_beta 160.35
_cell_angle_gamma 27.74
loop_
_atom_site_label
_atom_site_fract_x
_atom_site_fract_y
_atom_site_fract_z
_atom_site_occupancy
La1 0.1504 0.1504 0.0000 1
La2 0.8496 0.8496 0.0000 1
Pr1 0.0000 0.5000 0.5000 1
Cu1 0.2495 0.7495 0.5000 1
Cu2 0.4061 0.4061 0.0000 1
Cu3 0.5939 0.5939 0.0000 1
Cu4 0.7505 0.2505 0.5000 1
Si1 0.4503 0.9503 0.5000 1
Si2 0.5497 0.0497 0.5000 1
Ge1 0.3050 0.3050 0.0000 1
Ge2 0.6950 0.6950 0.0000 1
```

As for the density: 6.7 g/cm3. The final energy is -56.29 eV for the cell shown. Its space group is Immm (71).

DFT (PBE) results for a relaxed structure of LaCuGeS3.

Geometry as CIF:
```
data_LaCuGeS3
_space_group_name_H-M_alt 'P 1'
_space_group_IT_number 1
_space_group_name_Hall 'P 1'
_cell_length_a 6.4668
_cell_length_b 6.4668
_cell_length_c 10.8977
_cell_angle_alpha 90.00
_cell_angle_beta 90.00
_cell_angle_gamma 145.10
loop_
_atom_site_label
_atom_site_fract_x
_atom_site_fract_y
_atom_site_fract_z
_atom_site_occupancy
La1 0.0000 0.0000 0.0000 1
La2 0.0000 0.0000 0.5000 1
Cu1 0.4736 0.5264 0.7500 1
Cu2 0.5264 0.4736 0.2500 1
Ge1 0.2297 0.7703 0.2500 1
Ge2 0.7703 0.2297 0.7500 1
S1 0.0851 0.9149 0.7500 1
S2 0.3491 0.6509 0.5902 1
S3 0.3491 0.6509 0.9098 1
S4 0.6509 0.3491 0.0902 1
S5 0.6509 0.3491 0.4098 1
S6 0.9149 0.0851 0.2500 1
```

As for the density: 4.7 g/cm3. The final energy is -62.50 eV for the cell shown. Its space group is Cmcm (63).

DFT (PBE) results for a relaxed structure of LaCuGeSeS2.

Geometry as CIF:
```
data_LaCuGeSeS2
_space_group_name_H-M_alt 'P 1'
_space_group_IT_number 1
_space_group_name_Hall 'P 1'
_cell_length_a 6.6142
_cell_length_b 6.6142
_cell_length_c 11.1080
_cell_angle_alpha 90.00
_cell_angle_beta 90.00
_cell_angle_gamma 145.53
loop_
_atom_site_label
_atom_site_fract_x
_atom_site_fract_y
_atom_site_fract_z
_atom_site_occupancy
La1 0.0000 0.0000 0.0000 1
La2 0.0000 0.0000 0.5000 1
Cu1 0.4724 0.5276 0.7500 1
Cu2 0.5276 0.4724 0.2500 1
Ge1 0.2185 0.7815 0.2500 1
Ge2 0.7815 0.2185 0.7500 1
Se1 0.0962 0.9038 0.7500 1
Se2 0.9038 0.0962 0.2500 1
S1 0.3548 0.6452 0.5906 1
S2 0.3548 0.6452 0.9094 1
S3 0.6452 0.3548 0.0906 1
S4 0.6452 0.3548 0.4094 1
```

As for the density: 5.1 g/cm3. The final energy is -61.00 eV for the cell shown. Its space group is Cmcm (63).

DFT (PBE) results for a relaxed structure of LaCuGeSe2S.

Geometry as CIF:
```
data_LaCuGeSe2S
_space_group_name_H-M_alt 'P 1'
_space_group_IT_number 1
_space_group_name_Hall 'P 1'
_cell_length_a 6.8342
_cell_length_b 6.8342
_cell_length_c 10.8503
_cell_angle_alpha 90.00
_cell_angle_beta 90.00
_cell_angle_gamma 146.31
loop_
_atom_site_label
_atom_site_fract_x
_atom_site_fract_y
_atom_site_fract_z
_atom_site_occupancy
La1 0.0000 0.0000 0.0000 1
La2 0.0000 0.0000 0.5000 1
Cu1 0.4759 0.5241 0.7500 1
Cu2 0.5241 0.4759 0.2500 1
Ge1 0.2347 0.7653 0.2500 1
Ge2 0.7653 0.2347 0.7500 1
Se1 0.3435 0.6565 0.5862 1
Se2 0.3435 0.6565 0.9138 1
Se3 0.6565 0.3435 0.0862 1
Se4 0.6565 0.3435 0.4138 1
S1 0.0765 0.9235 0.7500 1
S2 0.9235 0.0765 0.2500 1
```

As for the density: 5.5 g/cm3. The final energy is -59.25 eV for the cell shown. Its space group is Cmcm (63).